The following is a PBE calculation of crystalline La2MgAs4Rh3 at its relaxed geometry, from Alexandria.

Cell and atoms, written as POSCAR:
```
La2MgAs4Rh3
1.0
4.335 0.000 0.000
0.000 4.335 0.000
0.000 0.000 10.474
La Mg As Rh
2 1 4 3
Cartesian
0.000 2.167 2.472
2.167 0.000 8.002
0.000 0.000 5.237
0.000 0.000 0.000
0.000 2.167 6.770
2.167 0.000 3.704
2.167 2.167 0.000
0.000 2.167 9.259
2.167 0.000 1.215
2.167 2.167 5.237
```

Values from the calculation:
- Energy relative to the elements: -958 meV per atom

The following is a PBE calculation of crystalline ZrAuO2 at its relaxed geometry, from Alexandria.

Cell and atoms, written as POSCAR:
```
ZrAuO2
1.0
1.781 1.028 6.006
-1.781 1.028 6.006
0.000 -2.056 6.006
Zr Au O
1 1 2
Cartesian
0.000 0.000 0.000
0.000 0.000 9.009
0.000 0.000 2.016
0.000 0.000 16.002
```

Values from the calculation:
- Formation energy without anion corrections: -0.52 eV/atom

The following is a PBE calculation of crystalline BaRuW2 at its relaxed geometry, from Alexandria.

Cell and atoms, written as POSCAR:
```
BaRuW2
1.0
-2.554 2.554 8.625
2.554 -2.554 8.625
2.554 2.554 -8.625
Ba Ru W
2 2 4
Cartesian
2.554 1.277 2.156
0.000 1.277 6.469
2.554 -1.277 6.469
0.000 3.830 2.156
0.000 0.000 0.000
1.277 1.277 -4.312
1.277 -1.277 4.312
0.000 2.554 0.000
```

Values from the calculation:
- Polymorph energy (0 for the lowest one): 59.3 kJ per mole of atoms
- Energy relative to the elements: 1331 meV per atom

The following is a PBE calculation of crystalline BeReBr2 at its relaxed geometry, from Alexandria.

Cell and atoms, written as POSCAR:
```
BeReBr2
1.0
1.520 -2.912 0.000
1.520 2.912 0.000
0.000 0.000 7.972
Be Re Br
1 1 2
Cartesian
0.000 0.000 0.000
0.000 0.000 3.986
1.520 0.000 1.704
1.520 0.000 6.268
```

Values from the calculation:
- Polymorph energy (0 for the lowest one): 90.3 kJ per mole of atoms
- Formation energy without anion corrections: 1.09 eV/atom

The following is a PBE calculation of crystalline Sr2CoRe at its relaxed geometry, from Alexandria.

Cell and atoms, written as POSCAR:
```
Sr2CoRe
1.0
-2.327 2.327 4.454
2.327 -2.327 4.454
2.327 2.327 -4.454
Sr Co Re
2 1 1
Cartesian
2.327 0.000 2.227
0.000 2.327 2.227
0.000 0.000 0.000
0.000 0.000 4.454
```

Values from the calculation:
- Polymorph energy (0 for the lowest one): 61.6 kJ per mole of atoms
- Energy relative to the elements: 1230 meV per atom

The following is a PBE calculation of crystalline Ba2TaIn at its relaxed geometry, from Alexandria.

Cell and atoms, written as POSCAR:
```
Ba2TaIn
1.0
-1.817 3.020 6.285
1.817 -3.020 6.285
1.817 3.020 -6.285
Ba Ta In
2 1 1
Cartesian
0.000 0.000 0.000
0.000 3.020 2.425
0.000 0.000 5.541
1.817 0.000 3.322
```

Values from the calculation:
- Polymorph energy (0 for the lowest one): 9.9 kJ per mole of atoms
- Energy relative to the elements: 552 meV per atom

The following is a PBE calculation of crystalline Ca4TlBr at its relaxed geometry, from Alexandria.

Cell and atoms, written as POSCAR:
```
Ca4TlBr
1.0
0.000 4.872 4.872
4.872 0.000 4.872
4.872 4.872 0.000
Ca Tl Br
4 1 1
Cartesian
1.210 1.210 1.210
3.663 3.663 1.210
3.663 1.210 3.663
1.210 3.663 3.663
7.308 7.308 7.308
4.872 4.872 4.872
```

Values from the calculation:
- Formation energy without anion corrections: 0.00 eV/atom

The following is a PBE calculation of crystalline CuTe2Pb at its relaxed geometry, from Alexandria.

Cell and atoms, written as POSCAR:
```
CuTe2Pb
1.0
4.545 0.000 0.000
0.000 4.123 0.000
-2.092 0.000 6.518
Cu Te Pb
1 2 1
Cartesian
0.000 0.000 0.000
-0.022 2.062 1.455
2.407 0.000 4.017
0.177 2.062 5.405
```

Values from the calculation:
- Formation energy without anion corrections: -0.06 eV/atom

The following is a PBE calculation of crystalline SrPuPdSe3 at its relaxed geometry, from Alexandria.

Cell and atoms, written as POSCAR:
```
SrPuPdSe3
1.0
8.494 0.000 0.000
0.000 4.169 0.000
-2.230 0.000 8.883
Sr Pu Pd Se
2 2 2 6
Cartesian
1.059 1.042 2.104
5.205 3.127 6.778
0.875 3.127 7.411
5.389 1.042 1.472
-0.428 1.042 5.066
6.693 3.127 3.817
-1.082 1.042 7.695
0.918 3.127 4.607
3.358 3.127 1.428
2.907 1.042 7.454
5.347 1.042 4.276
7.346 3.127 1.187
```

Values from the calculation:
- Formation energy without anion corrections: -1.35 eV/atom

The following is a PBE calculation of crystalline BaAlIn2 at its relaxed geometry, from Alexandria.

Cell and atoms, written as POSCAR:
```
BaAlIn2
1.0
3.846 0.000 0.000
0.000 4.013 0.000
0.000 0.000 7.722
Ba Al In
1 1 2
Cartesian
0.000 0.000 0.000
1.923 2.006 5.352
0.000 0.000 4.070
1.923 2.006 2.435
```

Values from the calculation:
- Energy relative to the elements: -152 meV per atom

The following is a PBE calculation of crystalline MgAsCl2 at its relaxed geometry, from Alexandria.

Cell and atoms, written as POSCAR:
```
MgAsCl2
1.0
6.614 -1.630 0.000
6.614 1.630 0.000
-0.961 0.000 5.096
Mg As Cl
1 1 2
Cartesian
0.000 0.000 0.000
6.133 0.000 2.548
4.065 0.000 4.072
8.202 0.000 1.024
```

Values from the calculation:
- Polymorph energy (0 for the lowest one): 11.4 kJ per mole of atoms
- Formation energy without anion corrections: -0.77 eV/atom

The following is a PBE calculation of crystalline Y2InW at its relaxed geometry, from Alexandria.

Cell and atoms, written as POSCAR:
```
Y2InW
1.0
0.000 3.583 3.583
3.583 0.000 3.583
3.583 3.583 0.000
Y In W
2 1 1
Cartesian
0.000 0.000 0.000
1.792 1.792 1.792
3.583 3.583 3.583
5.375 5.375 5.375
```

Values from the calculation:
- Energy relative to the elements: 373 meV per atom

Uncorrected energy, record by record: -61.7, -23.8, -31.8, -15.2, -18.0, -16.2, -12.1, -14.3, -39.8, -11.8, -13.0, -27.1 eV/f.u.